1.
This record from Alexandria via LeMat-Bulk describes a relaxed Er7ScTl2 crystal. The functional is PBE.

Structure (POSCAR):
```
Er7ScTl2
1.0
-3.1272 -4.0310 -0.0211
2.6094 -2.0681 8.3682
-7.0486 5.4745 -1.2081
Er Tl Sc
7 2 1
Direct
0.5000 0.9344 0.7025 Er
0.5000 0.2975 0.0656 Er
0.0000 0.2185 0.7815 Er
0.5000 0.5000 0.5000 Er
0.5000 0.0656 0.2975 Er
0.5000 0.7025 0.9344 Er
0.0000 0.7815 0.2185 Er
0.5000 0.6924 0.3076 Tl
0.5000 0.3076 0.6924 Tl
0.0000 0.0000 0.0000 Sc
```

Results
As for the formation energy: 0.385 eV per atom. The calculation puts the total energy at -0.1439 Ha/atom.



2.
This record from Alexandria via LeMat-Bulk describes a relaxed CoCuP2 crystal. The functional is PBE.

Structure (POSCAR):
```
CoCuP2
1.0
-1.7198 -3.8006 0.0641
3.2562 -0.6560 -2.5246
1.6107 -0.6895 2.2584
P Co Cu
2 1 1
Direct
0.5000 0.5000 0.0000 P
0.0000 0.0000 0.0000 P
0.5000 0.0000 0.5000 Co
0.0000 0.5000 0.5000 Cu
```

Results
As for the formation energy: 0.198 eV per atom. The calculation puts the total energy at -0.1951 Ha/atom.



no.,calculated volume (Å³ per cell)
1,361
2,49